Below is crystalline Ca2Pb at its relaxed geometry, with properties calculated at the PBE-GGA level.

Structure (POSCAR):
```
Ca2Pb
1.0
2.7373 -4.7412 0.0000
2.7373 4.7412 0.0000
0.0000 0.0000 7.2584
Pb Ca
2 4
direct
0.6667 0.3333 0.7500
0.3333 0.6667 0.2500
0.3333 0.6667 0.7500
0.6667 0.3333 0.2500
0.0000 0.0000 0.0000
0.0000 0.0000 0.5000
```

* ΔH_f (0 K): -0.549 eV per atom
* electronic total energy: -3.1191 eV/atom
* SG: P6_3/mmc (194)

Below is crystalline Li2CaReN4 at its relaxed geometry, with properties calculated at the PBE-GGA level.

Structure (POSCAR):
```
Li2CaReN4
1.0
-1.3729 -1.7916 4.6277
2.2661 -4.9845 -1.2574
6.5700 2.2732 2.8292
Li Re N Ca
4 2 8 2
direct
0.4823 0.3193 0.2530
0.4823 0.3193 0.7470
0.9823 0.6807 0.7530
0.9823 0.6807 0.2470
0.5067 0.8144 0.5000
0.0067 0.1856 0.0000
0.4381 0.1359 0.5000
0.3842 0.6702 0.2975
0.9381 0.8641 0.0000
0.8842 0.3298 0.2025
0.3583 0.2109 0.0000
0.8842 0.3298 0.7975
0.8583 0.7891 0.5000
0.3842 0.6702 0.7025
0.4639 0.7871 0.0000
0.9639 0.2129 0.5000
```

* electronic total energy: -6.9273 eV/atom
* SG: Pmn2_1 (31)

Below is crystalline CuNiIr at its relaxed geometry, with properties calculated at the PBE-GGA level.

Structure (POSCAR):
```
CuNiIr
1.0
-0.9876 -3.5600 2.1369
-1.4095 -0.8605 -2.0850
7.5253 -1.6894 0.6697
Ni Ir Cu
2 2 2
direct
0.2682 0.8605 0.2990
0.7679 0.1911 0.8519
0.7680 0.1989 0.1912
0.2680 0.8527 0.9596
0.2681 0.8441 0.6210
0.7682 0.2072 0.5297
```

* ΔH_f (0 K): 0.071 eV per atom
* electronic total energy: -6.1748 eV/atom
* energy above the lowest structure with this stoichiometry: 0.002 eV/atom
* SG: P2_1/m (11)